one.
# La2Sm7Tm3

A relaxed La2Sm7Tm3 crystal (GGA-PBE, Alexandria via LeMat-Bulk).

Output
M_tot	0.00	μB/f.u.

Unit cell a=6.4381 b=3.5610 c=17.6466 alpha=90.00 beta=95.97 gamma=90.00
With the nearest neighbours (Å) after each atom.
Space group P2/m (No. 10)
Asymmetric unit:
La 0.0596 0.0000 0.1704 [2 per cell]  5 Sm 3.41-3.60, 2 La 3.56, 4 Tm 3.63-3.74
Sm 0.0000 0.5000 0.5000 [1 per cell]  8 Sm 3.53-3.65, 4 Tm 3.68
Sm 0.2306 0.0000 0.6684 [2 per cell]  8 Sm 3.56-3.72, 1 La 3.56, 3 Tm 3.59-3.71
Sm 0.2586 0.0000 0.9966 [2 per cell]  2 Sm 3.10-3.34, 2 La 3.41-3.45
Sm 0.2779 0.5000 0.3376 [2 per cell]  7 Sm 3.53-3.72, 3 Tm 3.55-3.77, 2 La 3.60
Tm 0.4540 0.5000 0.8422 [2 per cell]  2 Tm 3.56, 7 Sm 3.59-3.77, 4 La 3.63-3.74
Tm 0.5000 0.0000 0.5000 [1 per cell]  10 Sm 3.55-3.68, 2 Tm 3.56

two.
# La2Sm7Tm3

A relaxed La2Sm7Tm3 crystal (GGA-PBE, Alexandria via LeMat-Bulk).

Output
M_tot	0.00	μB/f.u.

Unit cell a=5.7960 b=38.3449 c=3.6496 alpha=90.00 beta=90.00 gamma=90.00
With the nearest neighbours (Å) after each atom.
Space group Cmmm (No. 65)
Asymmetric unit:
La 0.0000 0.1486 0.0000 [4 per cell]  3 Sm 3.18-3.50
Sm 0.0000 0.0000 0.0000 [2 per cell]  6 Sm 3.27-3.65, 4 Tm 3.42
Sm 0.0000 0.0708 0.5000 [4 per cell]  8 Sm 3.27-3.65, 2 La 3.50
Sm 0.0000 0.2314 0.0000 [4 per cell]  1 La 3.18, 2 Sm 3.23
Sm 0.0000 0.4109 0.0000 [4 per cell]  6 Sm 3.50-3.65, 2 La 3.69, 2 Tm 3.87
Tm 0.0000 0.3134 0.5000 [4 per cell]  6 Sm 3.63-3.83, 2 Tm 3.65, 4 La 3.72
Tm 0.0000 0.5000 0.5000 [2 per cell]  4 Sm 3.42, 2 Tm 3.65

Out of the structures above, which one is the least stable? Solution: two.